BeTlTe3 PBEsol relaxed; uncorrected formation energy = 0.137 eV/atom
1.0
5.0667 0.0000 0.0000
0.0000 5.0667 0.0000
0.0000 0.0000 5.0667
Be Tl Te
1 1 3
direct
0.0000 0.0000 0.0000
0.5000 0.5000 0.5000
0.0000 0.0000 0.5000
0.0000 0.5000 0.0000
0.5000 0.0000 0.0000

=====

Fe2AgAu PBEsol relaxed; ΔH_f (0 K) = 316 meV/atom
1.0
2.6991 0.0000 0.0000
0.0000 2.6991 0.0000
0.0000 0.0000 7.8133
Fe Ag Au
2 1 1
direct
0.0000 0.0000 0.2502
0.0000 0.0000 0.7498
0.5000 0.5000 0.0000
0.5000 0.5000 0.5000

=====

V, record by record: 26.01 14.23 A^3/atom